Tb2Y5Bi4, optimized geometry, DFT PBE; crystal system = monoclinic; total magnetic moment = 0.00 Bohr magnetons per cell; energy of formation from the pure elements = -3.3 eV per formula unit; density of states at the Fermi level = 11.4 states/eV/f.u.; total DFT energy (no corrections) = -60.44 eV per cell
1.0
-2.066 -2.760 0.699
0.614 -2.305 -7.287
11.049 -3.409 10.350
Tb Y Bi
2 5 4
Cartesian
4.692 -5.586 0.666
4.904 -2.887 3.096
2.316 -2.858 -4.440
7.280 -5.615 8.201
3.085 -2.318 -0.031
-1.033 -1.380 0.349
6.511 -6.156 3.793
2.968 -4.977 -2.029
8.650 -7.235 5.854
6.629 -3.496 5.791
0.946 -1.238 -2.092